VASP calculation (PBE with a Hubbard U) on a geometry-optimized HfWO2F structure.

Properties
calculated density: 9.5 g/cm3
VASP energy: -37.56 eV per formula unit

Cell lengths 4.1371, 4.1371, 4.2042 Å; angles 90.00, 90.00, 90.00 degrees
With the nearest neighbours (Å) after each atom.
Space group P4/mmm (No. 123)
Unique sites:
Hf: 0.0000 0.0000 0.0000 [1 per cell]  4 O 2.07, 2 F 2.10
W: 0.5000 0.5000 0.5000 [1 per cell]  4 F 2.93, 8 O 2.95
O: 0.0000 0.5000 0.0000 [2 per cell]  2 Hf 2.07
F: 0.0000 0.0000 0.5000 [1 per cell]  2 Hf 2.10